1.
This record from Alexandria describes a relaxed structure of Tb6Pm2Dy3. The functional is PBE.

Values from the calculation:
SG: I4/mmm

Geometry as POSCAR:
```
Tb6Pm2Dy3
1.0
-4.6906 0.6227 -0.3035
-0.4551 -1.2033 4.5636
4.4088 16.2614 2.2643
Tb Pm Dy
6 2 3
Cartesian
0.2196 3.2881 3.3521
-1.8982 4.2011 0.9185
-0.9565 12.3927 3.1724
1.1613 11.4796 5.6059
-1.8508 5.9905 3.8582
1.1139 9.6902 2.6662
1.6675 14.5055 3.9911
-2.4044 1.1752 2.5333
0.0000 0.0000 0.0000
-1.4734 9.2737 4.7615
0.7365 6.4070 1.7629
```

=====

2.
This record from Alexandria describes a relaxed structure of TbPm6Dy3. The functional is PBE.

Values from the calculation:
SG: Cmc2_1

Geometry as POSCAR:
```
TbPm6Dy3
1.0
-2.1166 -5.9528 -0.5493
7.3913 -3.3258 7.5605
-10.1187 3.3136 3.0802
Tb Pm Dy
2 12 6
Cartesian
-6.9226 1.3177 3.8971
2.6457 -5.6880 6.3415
-1.1931 -0.5759 7.2742
-3.7177 -2.9963 6.6244
-6.4458 -0.7997 6.6757
-0.1699 -6.5570 8.2777
5.9246 -5.3616 7.1823
-6.5959 -2.3939 3.9765
2.1873 -2.3467 6.2278
-11.3345 -2.1949 2.7622
-5.1668 -0.7939 1.6858
1.1090 -6.5513 3.2877
-0.2740 -0.5717 3.6882
-2.7985 -2.9921 3.0383
-1.2323 -3.5312 9.0836
-6.3111 -4.9830 7.7802
-3.5487 0.2724 4.7606
-0.5816 -4.2303 5.5160
-4.5152 -4.9750 0.7732
0.5637 -3.5231 2.0767
```

=====

The following E_form values (in eV/atom) correspond, in order, to the records above: 0.2730 0.1431.